[1]
A relaxed structure of SrTiO2, computed with PBE-GGA.

Values from the calculation:
Magnetization: 1.91 μB per formula unit
Offset from the most stable computed form: 3.7 kJ/mol of atoms
Theoretical density: 4.1 g/cm³
E_form (uncorrected): -2295 meV/atom
N(E_F): 0.565 states/eV/atom
Space-group type: I-42d

Cell lengths 5.1390, 5.1390, 6.2928 Å; angles 65.90, 65.90, 90.00 degrees
Atoms (fractional coordinates):
1 Sr 0.0000 0.0000 0.0000
2 Sr 0.7500 0.2500 0.5000
3 O 0.5368 0.1250 0.2500
4 O 0.2132 0.6250 0.2500
5 O 0.3750 0.4632 0.7500
6 O 0.8750 0.7868 0.7500
7 Ti 0.5000 0.5000 0.0000
8 Ti 0.2500 0.7500 0.5000


[2]
A relaxed structure of SrTiO3, computed with PBE-GGA.

Values from the calculation:
Magnetization: 0.00 μB per formula unit
Theoretical density: 4.8 g/cm³
E_form (uncorrected): -3097 meV/atom
N(E_F): 0.000 states/eV/atom
Space-group type: P6_3/mmc

Cell lengths 5.6296, 5.6296, 13.8717 Å; angles 90.00, 90.00, 120.00 degrees
Atoms (fractional coordinates):
1 Sr 0.3333 0.6667 0.1047
2 Sr 0.0000 0.0000 0.2500
3 Sr 0.0000 0.0000 0.7500
4 Sr 0.3333 0.6667 0.3953
5 Sr 0.6667 0.3333 0.6047
6 Sr 0.6667 0.3333 0.8953
7 Ti 0.3333 0.6667 0.8469
8 Ti 0.0000 0.0000 0.0000
9 Ti 0.0000 0.0000 0.5000
10 Ti 0.3333 0.6667 0.6531
11 Ti 0.6667 0.3333 0.1531
12 Ti 0.6667 0.3333 0.3469
13 O 0.1644 0.8356 0.9179
14 O 0.1644 0.8356 0.5821
15 O 0.0220 0.5110 0.7500
16 O 0.4890 0.9780 0.7500
17 O 0.1644 0.3287 0.9179
18 O 0.1644 0.3287 0.5821
19 O 0.4890 0.5110 0.7500
20 O 0.3287 0.1644 0.0821
21 O 0.3287 0.1644 0.4179
22 O 0.6713 0.8356 0.5821
23 O 0.6713 0.8356 0.9179
24 O 0.5110 0.4890 0.2500
25 O 0.5110 0.0220 0.2500
26 O 0.8356 0.6713 0.4179
27 O 0.8356 0.6713 0.0821
28 O 0.9780 0.4890 0.2500
29 O 0.8356 0.1644 0.4179
30 O 0.8356 0.1644 0.0821


[3]
A relaxed structure of SrTi7O12, computed with PBE-GGA.

Values from the calculation:
Magnetization: 5.76 μB per formula unit
Theoretical density: 4.6 g/cm³
E_form (uncorrected): -2769 meV/atom
N(E_F): 0.601 states/eV/atom
Space-group type: Im-3

Cell lengths 6.5935, 6.5935, 6.5935 Å; angles 109.47, 109.47, 109.47 degrees
Atoms (fractional coordinates):
1 Sr 0.0000 0.0000 0.0000
2 Ti 0.5000 0.0000 0.5000
3 Ti 0.5000 0.5000 0.0000
4 Ti 0.0000 0.5000 0.5000
5 Ti 0.0000 0.0000 0.5000
6 Ti 0.5000 0.0000 0.0000
7 Ti 0.5000 0.5000 0.5000
8 Ti 0.0000 0.5000 0.0000
9 O 0.3076 0.1852 0.4928
10 O 0.3076 0.8148 0.1225
11 O 0.6924 0.8148 0.5072
12 O 0.6924 0.1852 0.8775
13 O 0.4928 0.3076 0.1852
14 O 0.8775 0.6924 0.1852
15 O 0.5072 0.6924 0.8148
16 O 0.1225 0.3076 0.8148
17 O 0.8148 0.1225 0.3076
18 O 0.1852 0.8775 0.6924
19 O 0.1852 0.4928 0.3076
20 O 0.8148 0.5072 0.6924


[4]
A relaxed structure of SrTiO3, computed with PBE-GGA.

Values from the calculation:
Magnetization: 1.19 μB per formula unit
Theoretical density: 3.7 g/cm³
E_form (uncorrected): -323 meV/atom
N(E_F): 3.783 states/eV/atom
Space-group type: Pm-3m

Cell lengths 4.3465, 4.3465, 4.3465 Å; angles 90.00, 90.00, 90.00 degrees
Atoms (fractional coordinates):
1 Sr 0.0000 0.0000 0.0000
2 O 0.0000 0.5000 0.0000
3 O 0.0000 0.0000 0.5000
4 O 0.5000 0.0000 0.0000
5 Ti 0.5000 0.5000 0.5000


[5]
A relaxed structure of SrTiO2, computed with PBE-GGA.

Values from the calculation:
Magnetization: 0.34 μB per formula unit
Offset from the most stable computed form: 24.7 kJ/mol of atoms
Theoretical density: 4.6 g/cm³
E_form (uncorrected): -2078 meV/atom
N(E_F): 0.538 states/eV/atom
Space-group type: R-3m

Cell lengths 6.8337, 6.8337, 6.8337 Å; angles 27.70, 27.70, 27.70 degrees
Atoms (fractional coordinates):
1 Sr 0.0000 0.0000 0.0000
2 O 0.8800 0.8800 0.8800
3 O 0.1200 0.1200 0.1200
4 Ti 0.5000 0.5000 0.5000


[6]
A relaxed structure of SrTiO3, computed with PBE-GGA.

Values from the calculation:
Magnetization: 0.00 μB per formula unit
Theoretical density: 4.8 g/cm³
E_form (uncorrected): -3038 meV/atom
N(E_F): 0.000 states/eV/atom
Space-group type: Cmmm

Cell lengths 3.8748, 5.5680, 6.4676 Å; angles 115.50, 90.00, 90.00 degrees
Atoms (fractional coordinates):
1 Sr 0.0000 0.6453 0.2905
2 Sr 0.0000 0.3547 0.7095
3 Ti 0.5000 0.1243 0.2486
4 Ti 0.5000 0.8757 0.7514
5 O 0.5000 0.2405 0.0000
6 O 0.0000 0.8610 0.7221
7 O 0.5000 0.7595 0.0000
8 O 0.5000 0.5000 0.5000
9 O 0.0000 0.1390 0.2779
10 O 0.5000 0.0000 0.5000